[1]
! GGA-PBEsol Fe2TePt, relaxed; values from VASP
&SYSTEM
  ibrav = 0, nat = 4, ntyp = 3
/
ATOMIC_SPECIES
Fe 55.84 Fe.upf
Pt 195.08 Pt.upf
Te 127.60 Te.upf
ATOMIC_POSITIONS angstrom
Fe 0.000 0.000 0.000
Fe -1.817 -1.499 -1.448
Pt 0.565 -0.661 -2.575
Te 0.515 -2.640 -0.643
CELL_PARAMETERS angstrom
-1.767 0.479 -3.380
2.897 -1.802 -1.770
-2.433 -2.816 3.058
! E_form (uncorrected) = 0.21 eV/atom
! Energy = -6.89 eV/atom

[2]
! GGA-PBEsol Sm2AgSn, relaxed; values from VASP
&SYSTEM
  ibrav = 0, nat = 4, ntyp = 3
/
ATOMIC_SPECIES
Sm 150.36 Sm.upf
Sn 118.71 Sn.upf
Ag 107.87 Ag.upf
ATOMIC_POSITIONS angstrom
Sm -3.023 -0.710 -0.808
Sm -9.069 -2.130 -2.423
Sn 0.000 0.000 0.000
Ag -6.046 -1.420 -1.615
CELL_PARAMETERS angstrom
-3.690 0.562 -3.676
-3.373 -3.896 -0.943
-5.028 0.494 1.389
! Energy = -4.98 eV/atom
! Energy of formation = -0.5430 eV per atom

[3]
! GGA-PBEsol In2Ga2Au, relaxed; values from VASP
&SYSTEM
  ibrav = 0, nat = 5, ntyp = 3
/
ATOMIC_SPECIES
Au 196.97 Au.upf
Ga 69.72 Ga.upf
In 114.82 In.upf
ATOMIC_POSITIONS angstrom
Au 0.000 0.000 0.000
Ga 0.000 0.000 4.909
Ga 2.119 2.119 1.181
In 0.000 2.119 3.045
In 2.119 0.000 3.045
CELL_PARAMETERS angstrom
4.238 0.000 0.000
0.000 4.238 0.000
-2.119 -2.119 6.090
! Energy = -3.07 eV/atom
! Energy of formation = 0.2426 eV per atom

[4]
! GGA-PBEsol TlIn2Sb, relaxed; values from VASP
&SYSTEM
  ibrav = 0, nat = 4, ntyp = 3
/
ATOMIC_SPECIES
Sb 121.76 Sb.upf
Tl 204.38 Tl.upf
In 114.82 In.upf
ATOMIC_POSITIONS angstrom
Sb -1.308 -1.459 2.733
Tl 0.000 0.000 0.000
In -1.319 1.887 2.446
In 1.574 0.250 2.956
CELL_PARAMETERS angstrom
-4.201 0.177 2.222
1.585 -3.096 3.244
2.871 5.056 -0.064
! E_form (uncorrected) = 0.02 eV/atom
! Energy = -3.26 eV/atom

[5]
! GGA-PBEsol Mg2ZnNi2, relaxed; values from VASP
&SYSTEM
  ibrav = 0, nat = 10, ntyp = 3
/
ATOMIC_SPECIES
Ni 58.69 Ni.upf
Zn 65.41 Zn.upf
Mg 24.30 Mg.upf
ATOMIC_POSITIONS angstrom
Ni 3.583 1.767 4.114
Ni 2.790 -1.014 5.830
Ni 0.716 -1.950 3.354
Ni 1.510 0.831 1.638
Zn 0.000 0.000 0.000
Zn 2.150 -0.091 3.734
Mg 1.259 2.762 3.513
Mg 2.050 1.429 6.315
Mg 0.089 -1.027 5.700
Mg -0.701 0.306 2.898
CELL_PARAMETERS angstrom
-2.951 1.918 1.746
0.286 -3.851 4.715
4.014 3.668 2.753
! Energy = -3.62 eV/atom
! Energy of formation = -0.1584 eV per atom

[6]
! GGA-PBEsol YFeIr, relaxed; values from VASP
&SYSTEM
  ibrav = 0, nat = 3, ntyp = 3
/
ATOMIC_SPECIES
Fe 55.84 Fe.upf
Ir 192.22 Ir.upf
Y 88.91 Y.upf
ATOMIC_POSITIONS angstrom
Fe 0.147 0.184 0.105
Ir -0.916 1.966 1.580
Y 1.990 2.495 1.422
CELL_PARAMETERS angstrom
-2.113 2.150 -0.814
-1.456 -0.396 2.733
4.791 2.892 1.188
! Energy = -8.60 eV/atom
! Energy of formation = -0.0661 eV per atom

[7]
! GGA-PBEsol Sr2CaTi3O9, relaxed; values from VASP
&SYSTEM
  ibrav = 0, nat = 30, ntyp = 4
/
ATOMIC_SPECIES
Sr 87.62 Sr.upf
Ca 40.08 Ca.upf
Ti 47.87 Ti.upf
O 16.00 O.upf
ATOMIC_POSITIONS angstrom
Sr -0.901 0.053 4.196
Sr 2.423 1.905 4.923
Sr 7.212 2.270 2.410
Sr -2.219 3.064 2.122
Ca 1.084 4.906 2.843
Ca 5.914 5.295 0.339
Ti 8.946 4.004 0.100
Ti -0.660 3.253 5.111
Ti 4.160 3.590 2.631
Ti 0.880 1.736 1.932
Ti 2.837 6.615 0.548
Ti 7.407 5.520 3.278
O -0.672 0.669 1.366
O 1.088 4.111 5.142
O 5.890 4.484 2.633
O 7.161 3.232 0.008
O -2.426 2.396 4.987
O 2.359 2.860 2.518
O 6.424 6.000 4.907
O -0.157 2.417 3.429
O 4.659 2.609 1.013
O 8.390 4.964 1.696
O 1.975 1.002 0.478
O 3.705 4.470 4.320
O 1.505 0.258 3.061
O 3.492 5.117 1.580
O 8.110 3.962 4.241
O 4.816 2.092 3.663
O 6.703 7.069 2.330
O 0.265 3.200 0.804
CELL_PARAMETERS angstrom
-2.867 4.544 1.102
-0.219 -1.505 5.269
11.383 4.194 -1.144
! E_form (uncorrected) = -3.19 eV/atom
! Energy = -8.39 eV/atom

[8]
! GGA-PBEsol Sr3Au2, relaxed; values from VASP
&SYSTEM
  ibrav = 0, nat = 5, ntyp = 2
/
ATOMIC_SPECIES
Sr 87.62 Sr.upf
Au 196.97 Au.upf
ATOMIC_POSITIONS angstrom
Sr 0.000 0.000 0.000
Sr 0.976 0.832 4.156
Sr 2.858 0.063 10.093
Au 1.846 -2.047 4.690
Au 1.988 2.942 9.559
CELL_PARAMETERS angstrom
-0.716 -3.044 3.140
3.428 -2.010 1.960
1.121 5.949 9.150
! Energy = -3.19 eV/atom
! Energy of formation = -0.5173 eV per atom

[9]
! GGA-PBEsol Li2CaCd, relaxed; values from VASP
&SYSTEM
  ibrav = 0, nat = 4, ntyp = 3
/
ATOMIC_SPECIES
Ca 40.08 Ca.upf
Cd 112.41 Cd.upf
Li 6.94 Li.upf
ATOMIC_POSITIONS angstrom
Ca -2.877 1.352 3.260
Cd -0.586 2.810 5.031
Li -3.222 3.004 6.217
Li -0.145 0.693 1.241
CELL_PARAMETERS angstrom
-2.902 1.688 -1.281
-2.088 -2.650 1.237
-0.736 3.529 6.317
! Energy = -1.97 eV/atom
! Energy of formation = -0.1567 eV per atom

[10]
! GGA-PBEsol Ca2AlSe, relaxed; values from VASP
&SYSTEM
  ibrav = 0, nat = 8, ntyp = 3
/
ATOMIC_SPECIES
Ca 40.08 Ca.upf
Al 26.98 Al.upf
Se 78.96 Se.upf
ATOMIC_POSITIONS angstrom
Ca -1.475 -2.012 4.725
Ca 0.979 -1.459 2.187
Ca -2.331 -3.226 0.390
Ca 4.540 0.457 4.343
Al -2.705 -0.701 2.178
Al 0.811 0.926 4.187
Se 0.000 0.000 0.000
Se 0.045 -4.046 1.636
CELL_PARAMETERS angstrom
-1.939 4.271 4.730
-3.471 -5.673 -0.373
6.267 -1.718 1.466
! E_form (uncorrected) = -0.62 eV/atom
! Energy = -3.67 eV/atom

[11]
! GGA-PBEsol YAs2Pt, relaxed; values from VASP
&SYSTEM
  ibrav = 0, nat = 4, ntyp = 3
/
ATOMIC_SPECIES
Y 88.91 Y.upf
As 74.92 As.upf
Pt 195.08 Pt.upf
ATOMIC_POSITIONS angstrom
Y 4.704 2.716 1.920
As 2.352 1.358 0.960
As 7.055 4.073 2.880
Pt 0.000 0.000 0.000
CELL_PARAMETERS angstrom
4.704 0.000 0.000
2.352 4.073 0.000
2.352 1.358 3.840
! Energy = -6.52 eV/atom
! Energy of formation = -0.5230 eV per atom

[12]
! GGA-PBEsol KSN2O, relaxed; values from VASP
&SYSTEM
  ibrav = 0, nat = 5, ntyp = 4
/
ATOMIC_SPECIES
K 39.10 K.upf
S 32.06 S.upf
O 16.00 O.upf
N 14.01 N.upf
ATOMIC_POSITIONS angstrom
K 0.441 -3.977 0.197
S -0.782 -0.767 1.330
O 0.000 0.000 0.000
N 2.102 -1.390 0.434
N -0.880 -1.820 -1.567
CELL_PARAMETERS angstrom
-1.563 -1.534 2.659
-1.759 -3.639 -3.134
4.205 -2.780 0.868
! E_form (uncorrected) = 1.66 eV/atom
! Energy = -3.90 eV/atom

Number 1: total magnetic moment 5.1 μB/cell. Number 2: total magnetic moment 0.0 μB/cell. Number 3: total magnetic moment 0.0 μB/cell. Number 4: total magnetic moment 0.0 μB/cell. Number 5: total magnetic moment 0.0 μB/cell. Number 6: total magnetic moment 2.9 μB/cell. Number 7: total magnetic moment 0.0 μB/cell. Number 8: total magnetic moment 0.0 μB/cell. Number 9: total magnetic moment 0.0 μB/cell. Number 10: total magnetic moment 0.0 μB/cell. Number 11: total magnetic moment 0.0 μB/cell. Number 12: total magnetic moment 5.4 μB/cell.